# PBE+U VInF6, relaxed
# Total energy: -5.36 eV per atom
# Crystal system: trigonal
# Fermi-level density of states: 0.00 states/eV/cell
data_VInF6
_cell_length_a 5.186
_cell_length_b 5.186
_cell_length_c 9.634
_cell_angle_alpha 90.00
_cell_angle_beta 90.00
_cell_angle_gamma 120.00
_space_group_name_H-M_alt 'P 1'
_space_group_IT_number 1
_space_group_name_Hall 'P 1'
loop_
_atom_site_label
_atom_site_fract_x
_atom_site_fract_y
_atom_site_fract_z
V1 0.000 0.000 0.000
V2 0.000 0.000 0.500
In1 0.333 0.667 0.250
In2 0.667 0.333 0.750
F1 0.025 0.321 0.120
F2 0.025 0.704 0.380
F3 0.296 0.321 0.380
F4 0.296 0.975 0.120
F5 0.321 0.025 0.620
F6 0.321 0.296 0.880
F7 0.679 0.704 0.120
F8 0.679 0.975 0.380
F9 0.704 0.025 0.880
F10 0.704 0.679 0.620
F11 0.975 0.296 0.620
F12 0.975 0.679 0.880